Record 1
{"formula": "Si2HgBr", "functional": "SCAN", "state": "PBEsol geometry", "dft_energy_ev_per_atom": -26.076, "cell": [[-2.429, 2.429, 3.402], [2.429, -2.429, 3.402], [2.429, 2.429, -3.402]], "species": ["Si", "Si", "Hg", "Br"], "frac_coords": [[0.000, 0.000, 0.000], [0.750, 0.250, 0.500], [0.500, 0.500, 0.000], [0.250, 0.750, 0.500]]}

---

Record 2
{"formula": "LiHo2Pt", "functional": "SCAN", "state": "PBEsol geometry", "ef_ev_per_atom": -0.844, "cell": [[0.000, 3.449, 3.449], [3.449, 0.000, 3.449], [3.449, 3.449, 0.000]], "species": ["Li", "Ho", "Ho", "Pt"], "frac_coords": [[0.000, 0.000, 0.000], [0.250, 0.250, 0.250], [0.750, 0.750, 0.750], [0.500, 0.500, 0.500]]}

---

Record 3
{"formula": "LiZnGeS2", "functional": "SCAN", "state": "PBEsol geometry", "dft_energy_ev_per_atom": -10.683, "cell": [[4.845, 0.000, 0.000], [0.000, 4.845, 0.000], [0.000, 0.000, 4.559]], "species": ["Li", "Zn", "Ge", "S", "S"], "frac_coords": [[0.000, 0.000, 0.000], [0.500, 0.500, 0.500], [0.500, 0.500, 0.000], [0.000, 0.500, 0.500], [0.500, 0.000, 0.500]]}

---

Record 4
{"formula": "SnOs2S", "functional": "SCAN", "state": "PBEsol geometry", "dft_energy_ev_per_atom": -46.411, "cell": [[0.000, 3.122, 3.122], [3.122, 0.000, 3.122], [3.122, 3.122, 0.000]], "species": ["Sn", "Os", "Os", "S"], "frac_coords": [[0.000, 0.000, 0.000], [0.250, 0.250, 0.250], [0.750, 0.750, 0.750], [0.500, 0.500, 0.500]]}

---

Record 5
{"formula": "CaTlAuI2", "functional": "SCAN", "state": "PBEsol geometry", "dft_energy_ev_per_atom": -45.675, "cell": [[5.946, 0.000, 0.000], [0.000, 5.946, 0.000], [0.000, 0.000, 5.517]], "species": ["Ca", "Tl", "Au", "I", "I"], "frac_coords": [[0.000, 0.000, 0.000], [0.500, 0.500, 0.500], [0.000, 0.000, 0.500], [0.000, 0.500, 0.000], [0.500, 0.000, 0.000]]}

---

Record 6
{"formula": "KInFe2", "functional": "SCAN", "state": "PBEsol geometry", "ef_ev_per_atom": 0.621, "cell": [[2.853, 0.000, 0.000], [0.000, 4.203, 0.000], [0.000, 0.000, 7.156]], "species": ["K", "In", "Fe", "Fe"], "frac_coords": [[0.000, 0.000, 0.000], [0.000, 0.000, 0.500], [0.500, 0.500, 0.350], [0.500, 0.500, 0.650]]}

---

Record 7
{"formula": "Er6Ni20As13", "functional": "SCAN", "state": "PBEsol geometry", "ef_ev_per_atom": -0.752, "cell": [[12.911, 0.000, 0.000], [-6.455, 11.181, 0.000], [0.000, 0.000, 3.802]], "species": ["Er", "Er", "Er", "Er", "Er", "Er", "Ni", "Ni", "Ni", "Ni", "Ni", "Ni", "Ni", "Ni", "Ni", "Ni", "Ni", "Ni", "Ni", "Ni", "Ni", "Ni", "Ni", "Ni", "Ni", "Ni", "As", "As", "As", "As", "As", "As", "As", "As", "As", "As", "As", "As", "As"], "frac_coords": [[0.050, 0.195, 0.000], [0.144, 0.950, 0.000], [0.524, 0.387, 0.500], [0.613, 0.137, 0.500], [0.805, 0.856, 0.000], [0.863, 0.476, 0.500], [0.000, 0.000, 0.500], [0.010, 0.419, 0.000], [0.087, 0.736, 0.500], [0.184, 0.599, 0.500], [0.224, 0.466, 0.000], [0.242, 0.776, 0.000], [0.264, 0.351, 0.500], [0.313, 0.232, 0.000], [0.354, 0.104, 0.500], [0.401, 0.586, 0.500], [0.408, 0.990, 0.000], [0.414, 0.816, 0.500], [0.534, 0.758, 0.000], [0.581, 0.592, 0.000], [0.649, 0.913, 0.500], [0.667, 0.333, 0.000], [0.750, 0.646, 0.500], [0.768, 0.081, 0.000], [0.896, 0.250, 0.500], [0.919, 0.687, 0.000], [0.051, 0.614, 0.000], [0.100, 0.385, 0.500], [0.195, 0.143, 0.500], [0.285, 0.900, 0.500], [0.333, 0.667, 0.000], [0.386, 0.437, 0.000], [0.472, 0.193, 0.000], [0.563, 0.949, 0.000], [0.615, 0.715, 0.500], [0.721, 0.528, 0.000], [0.807, 0.279, 0.000], [0.857, 0.051, 0.500], [0.949, 0.805, 0.500]]}

---

Record 8
{"formula": "SmCu5Sn", "functional": "SCAN", "state": "PBEsol geometry", "ef_ev_per_atom": -0.289, "cell": [[8.162, 0.000, 0.000], [0.000, 4.946, 0.000], [0.000, 0.000, 10.464]], "species": ["Sm", "Sm", "Sm", "Sm", "Cu", "Cu", "Cu", "Cu", "Cu", "Cu", "Cu", "Cu", "Cu", "Cu", "Cu", "Cu", "Cu", "Cu", "Cu", "Cu", "Cu", "Cu", "Cu", "Cu", "Sn", "Sn", "Sn", "Sn"], "frac_coords": [[0.247, 0.250, 0.061], [0.253, 0.750, 0.561], [0.747, 0.250, 0.439], [0.753, 0.750, 0.939], [0.060, 0.750, 0.103], [0.070, 0.001, 0.312], [0.070, 0.499, 0.312], [0.082, 0.250, 0.517], [0.182, 0.250, 0.743], [0.318, 0.750, 0.243], [0.418, 0.750, 0.017], [0.430, 0.501, 0.812], [0.430, 0.999, 0.812], [0.440, 0.250, 0.603], [0.560, 0.750, 0.397], [0.570, 0.001, 0.188], [0.570, 0.499, 0.188], [0.582, 0.250, 0.983], [0.682, 0.250, 0.757], [0.818, 0.750, 0.257], [0.918, 0.750, 0.483], [0.930, 0.501, 0.688], [0.930, 0.999, 0.688], [0.940, 0.250, 0.897], [0.139, 0.750, 0.861], [0.361, 0.250, 0.361], [0.639, 0.750, 0.639], [0.861, 0.250, 0.139]]}

---

Record 9
{"formula": "Na2TiCrP3O12", "functional": "SCAN", "state": "PBEsol geometry", "dft_energy_ev_per_atom": -10.506, "cell": [[7.452, -4.316, 0.000], [7.452, 4.316, 0.000], [-5.014, 0.000, 7.197]], "species": ["Na", "Na", "Na", "Na", "Ti", "Ti", "Cr", "Cr", "P", "P", "P", "P", "P", "P", "O", "O", "O", "O", "O", "O", "O", "O", "O", "O", "O", "O", "O", "O", "O", "O", "O", "O", "O", "O", "O", "O", "O", "O"], "frac_coords": [[0.182, 0.182, 0.492], [0.439, 0.088, 0.249], [0.818, 0.818, 0.508], [0.912, 0.561, 0.751], [0.073, 0.708, 0.176], [0.292, 0.927, 0.824], [0.575, 0.215, 0.688], [0.785, 0.425, 0.312], [0.186, 0.526, 0.497], [0.391, 0.320, 0.992], [0.474, 0.814, 0.503], [0.680, 0.609, 0.008], [0.892, 0.108, 0.500], [0.967, 0.033, 0.000], [0.015, 0.507, 0.496], [0.068, 0.075, 0.671], [0.139, 0.557, 0.319], [0.150, 0.003, 0.979], [0.207, 0.492, 0.011], [0.219, 0.703, 0.665], [0.297, 0.781, 0.335], [0.355, 0.342, 0.507], [0.366, 0.151, 0.987], [0.402, 0.279, 0.805], [0.443, 0.861, 0.681], [0.493, 0.985, 0.504], [0.508, 0.793, 0.989], [0.564, 0.354, 0.159], [0.646, 0.436, 0.841], [0.658, 0.645, 0.493], [0.713, 0.127, 0.516], [0.721, 0.598, 0.195], [0.797, 0.052, 0.822], [0.849, 0.634, 0.013], [0.873, 0.287, 0.484], [0.925, 0.932, 0.329], [0.948, 0.203, 0.178], [0.997, 0.850, 0.021]]}

---

Record 10
{"formula": "CrAuBr2", "functional": "SCAN", "state": "PBEsol geometry", "dft_energy_ev_per_atom": -31.743, "cell": [[1.674, 0.967, 8.820], [-1.674, 0.967, 8.820], [0.000, -1.933, 8.820]], "species": ["Cr", "Au", "Br", "Br"], "frac_coords": [[0.000, 0.000, 0.000], [0.500, 0.500, 0.500], [0.273, 0.273, 0.273], [0.727, 0.727, 0.727]]}

---

Record 11
{"formula": "NiPtRh2", "functional": "SCAN", "state": "PBEsol geometry", "ef_ev_per_atom": -0.035, "cell": [[-1.874, 1.874, 3.750], [1.874, -1.874, 3.750], [1.874, 1.874, -3.750]], "species": ["Ni", "Pt", "Rh", "Rh"], "frac_coords": [[0.000, 0.000, 0.000], [0.500, 0.500, 0.000], [0.250, 0.750, 0.500], [0.750, 0.250, 0.500]]}

---

Record 12
{"formula": "TlBr2O", "functional": "SCAN", "state": "PBEsol geometry", "dft_energy_ev_per_atom": -29.299, "cell": [[-3.091, 3.091, 6.124], [3.091, -3.091, 6.124], [3.091, 3.091, -6.124]], "species": ["Tl", "Tl", "Br", "Br", "Br", "Br", "O", "O"], "frac_coords": [[0.000, 0.000, 0.000], [0.750, 0.250, 0.500], [0.311, 0.625, 0.186], [0.375, 0.561, 0.686], [0.439, 0.125, 0.814], [0.875, 0.689, 0.314], [0.250, 0.750, 0.500], [0.500, 0.500, 0.000]]}

---

Record 13
{"formula": "LiFeTe2", "functional": "SCAN", "state": "PBEsol geometry", "dft_energy_ev_per_atom": -23.796, "cell": [[3.310, 0.000, 0.000], [0.000, 3.310, 0.000], [0.000, 0.000, 7.313]], "species": ["Li", "Fe", "Te", "Te"], "frac_coords": [[0.000, 0.000, 0.000], [0.000, 0.000, 0.500], [0.500, 0.500, 0.279], [0.500, 0.500, 0.721]]}

---

Record 14
{"formula": "BaTa2Al", "functional": "SCAN", "state": "PBEsol geometry", "ef_ev_per_atom": 0.825, "cell": [[1.510, 0.872, 10.829], [-1.510, 0.872, 10.829], [0.000, -1.744, 10.829]], "species": ["Ba", "Ta", "Ta", "Al"], "frac_coords": [[0.000, 0.000, 0.000], [0.237, 0.237, 0.237], [0.763, 0.763, 0.763], [0.500, 0.500, 0.500]]}

---

Record 15
{"formula": "Pr6O11", "functional": "SCAN", "state": "PBEsol geometry", "dft_energy_ev_per_atom": -22.386, "cell": [[6.895, 0.000, 0.000], [0.000, 11.964, 0.000], [-2.273, 0.000, 13.020]], "species": ["Pr", "Pr", "Pr", "Pr", "Pr", "Pr", "Pr", "Pr", "Pr", "Pr", "Pr", "Pr", "Pr", "Pr", "Pr", "Pr", "Pr", "Pr", "Pr", "Pr", "Pr", "Pr", "Pr", "Pr", "O", "O", "O", "O", "O", "O", "O", "O", "O", "O", "O", "O", "O", "O", "O", "O", "O", "O", "O", "O", "O", "O", "O", "O", "O", "O", "O", "O", "O", "O", "O", "O", "O", "O", "O", "O", "O", "O", "O", "O", "O", "O", "O", "O"], "frac_coords": [[0.086, 0.170, 0.375], [0.086, 0.330, 0.875], [0.124, 0.000, 0.870], [0.124, 0.500, 0.370], [0.141, 0.666, 0.877], [0.141, 0.834, 0.377], [0.364, 0.014, 0.616], [0.364, 0.170, 0.104], [0.364, 0.330, 0.604], [0.364, 0.486, 0.116], [0.373, 0.650, 0.626], [0.373, 0.850, 0.126], [0.627, 0.150, 0.874], [0.627, 0.350, 0.374], [0.636, 0.514, 0.884], [0.636, 0.670, 0.396], [0.636, 0.830, 0.896], [0.636, 0.986, 0.384], [0.859, 0.166, 0.623], [0.859, 0.334, 0.123], [0.876, 0.000, 0.130], [0.876, 0.500, 0.630], [0.914, 0.670, 0.125], [0.914, 0.830, 0.625], [0.067, 0.002, 0.685], [0.067, 0.498, 0.185], [0.074, 0.662, 0.693], [0.074, 0.838, 0.193], [0.083, 0.168, 0.195], [0.083, 0.332, 0.695], [0.163, 0.169, 0.556], [0.163, 0.331, 0.056], [0.182, 0.005, 0.059], [0.182, 0.495, 0.559], [0.232, 0.669, 0.072], [0.232, 0.831, 0.572], [0.310, 0.663, 0.439], [0.310, 0.837, 0.939], [0.312, 0.173, 0.921], [0.312, 0.327, 0.421], [0.315, 0.013, 0.425], [0.315, 0.487, 0.925], [0.447, 0.520, 0.301], [0.447, 0.980, 0.801], [0.457, 0.677, 0.809], [0.457, 0.823, 0.309], [0.543, 0.177, 0.691], [0.543, 0.323, 0.191], [0.553, 0.020, 0.199], [0.553, 0.480, 0.699], [0.685, 0.513, 0.075], [0.685, 0.987, 0.575], [0.688, 0.673, 0.579], [0.688, 0.827, 0.079], [0.690, 0.163, 0.061], [0.690, 0.337, 0.561], [0.768, 0.169, 0.428], [0.768, 0.331, 0.928], [0.818, 0.505, 0.441], [0.818, 0.995, 0.941], [0.837, 0.669, 0.944], [0.837, 0.831, 0.444], [0.917, 0.668, 0.305], [0.917, 0.832, 0.805], [0.926, 0.162, 0.807], [0.926, 0.338, 0.307], [0.933, 0.502, 0.815], [0.933, 0.998, 0.315]]}

---

Record 16
{"formula": "Zr7Tl", "functional": "SCAN", "state": "PBEsol geometry", "ef_ev_per_atom": -0.043, "cell": [[0.000, 4.445, 4.445], [4.445, 0.000, 4.445], [4.445, 4.445, 0.000]], "species": ["Zr", "Zr", "Zr", "Zr", "Zr", "Zr", "Zr", "Tl"], "frac_coords": [[0.000, 0.000, 0.000], [0.000, 0.000, 0.500], [0.000, 0.500, 0.000], [0.000, 0.500, 0.500], [0.500, 0.000, 0.000], [0.500, 0.000, 0.500], [0.500, 0.500, 0.000], [0.500, 0.500, 0.500]]}

---

Record 17
{"formula": "ZnCd5", "functional": "SCAN", "state": "PBEsol geometry", "ef_ev_per_atom": 0.039, "cell": [[6.064, -1.439, 0.000], [6.064, 1.439, 0.000], [-2.702, 0.000, 6.855]], "species": ["Zn", "Cd", "Cd", "Cd", "Cd", "Cd"], "frac_coords": [[0.000, 0.000, 0.000], [0.296, 0.296, 0.064], [0.333, 0.333, 0.672], [0.610, 0.610, 0.753], [0.665, 0.665, 0.317], [0.958, 0.958, 0.403]]}

---

Record 18
{"formula": "Ag2PPt", "functional": "SCAN", "state": "PBEsol geometry", "ef_ev_per_atom": 0.169, "cell": [[-1.875, 1.875, 4.393], [1.875, -1.875, 4.393], [1.875, 1.875, -4.393]], "species": ["Ag", "Ag", "P", "Pt"], "frac_coords": [[0.250, 0.750, 0.500], [0.750, 0.250, 0.500], [0.000, 0.000, 0.000], [0.500, 0.500, 0.000]]}

---

Record 19
{"formula": "K3OsBr", "functional": "SCAN", "state": "PBEsol geometry", "dft_energy_ev_per_atom": -22.821, "cell": [[5.969, 0.000, 0.000], [0.000, 5.969, 0.000], [0.000, 0.000, 5.969]], "species": ["K", "K", "K", "Os", "Br"], "frac_coords": [[0.000, 0.000, 0.500], [0.000, 0.500, 0.000], [0.500, 0.000, 0.000], [0.000, 0.000, 0.000], [0.500, 0.500, 0.500]]}

---

Record 20
{"formula": "CrCuRu2", "functional": "SCAN", "state": "PBEsol geometry", "ef_ev_per_atom": 0.305, "cell": [[2.805, 0.000, 0.000], [0.000, 4.177, 0.000], [0.000, 0.000, 4.401]], "species": ["Cr", "Cu", "Ru", "Ru"], "frac_coords": [[0.000, 0.000, 0.000], [0.500, 0.000, 0.500], [0.000, 0.500, 0.500], [0.500, 0.500, 0.000]]}

---

| no. | calculated volume (Å³ per atom) | size of the total moment (μB/f.u.) |
| --- | --- | --- |
| 1 | 20.07 | 0.0 |
| 2 | 20.52 | 0.0 |
| 3 | 21.41 | 0.0 |
| 4 | 15.21 | 0.0 |
| 5 | 39.00 | 0.0 |
| 6 | 21.45 | 5.6 |
| 7 | 14.07 | 0.0 |
| 8 | 15.08 | 0.0 |
| 9 | 12.18 | 3.0 |
| 10 | 21.41 | 3.7 |
| 11 | 13.16 | 1.7 |
| 12 | 29.26 | 0.0 |
| 13 | 20.03 | 2.9 |
| 14 | 21.38 | 0.0 |
| 15 | 15.79 | 4.0 |
| 16 | 21.96 | 0.0 |
| 17 | 19.94 | 0.0 |
| 18 | 15.44 | 0.0 |
| 19 | 42.54 | 2.0 |
| 20 | 12.89 | 1.8 |